The following is a PBE-GGA calculation of an optimized crystal structure of TbMgPtRh, from Alexandria via LeMat-Bulk.

Summary:
The value obtained for the density of states at the Fermi level is 3.26 states/eV per cell. The calculation puts the final energy at -5.75 eV/atom. For the mass density, the calculation gives 10.83 g cm⁻³. As for the space-group type: F-43m, No. 216. Its formation energy from the elements is -848 meV per atom.

Unit cell a=4.7081 b=4.7081 c=4.7081 alpha=60.00 beta=60.00 gamma=60.00
Last column: nearest neighbours and their distance in Å.
Positions (direct):
Tb 0.0000 0.0000 0.0000  4 Rh 2.88, 4 Pt 2.88
Mg 0.5000 0.5000 0.5000  4 Rh 2.88, 4 Pt 2.88
Pt 0.2500 0.2500 0.2500  4 Tb 2.88, 4 Mg 2.88
Rh 0.7500 0.7500 0.7500  4 Tb 2.88, 4 Mg 2.88

The following is a PBE-GGA calculation of an optimized crystal structure of Th2MgPtRh5, from Alexandria via LeMat-Bulk.

Summary:
The value obtained for the density of states at the Fermi level is 8.62 states/eV per cell. The calculation puts the final energy at -6.81 eV/atom. For the mass density, the calculation gives 10.77 g cm⁻³. As for the space-group type: I4/mcm, No. 140. Its formation energy from the elements is -225 meV per atom.

Unit cell a=7.9243 b=7.9243 c=7.9243 alpha=116.16 beta=116.16 gamma=96.78
Last column: nearest neighbours and their distance in Å.
Positions (direct):
Th 0.1397 0.6397 0.7794  2 Rh 2.46
Th 0.3603 0.1397 0.5000  2 Rh 2.46
Th 0.6397 0.8603 0.5000  2 Rh 2.46
Th 0.8603 0.3603 0.2206  2 Rh 2.46
Mg 0.2500 0.2500 0.0000  2 Rh 2.63
Mg 0.7500 0.7500 0.0000  2 Rh 2.63
Pt 0.2500 0.7500 0.5000  4 Rh 2.57
Pt 0.7500 0.2500 0.5000  4 Rh 2.57
Rh 0.0000 0.0000 0.0000  2 Mg 2.63
Rh 0.0542 0.1693 0.5000  1 Th 2.46, 1 Pt 2.57, 1 Rh 2.72
Rh 0.1693 0.6693 0.1151  1 Th 2.46, 1 Pt 2.57, 1 Rh 2.72
Rh 0.3307 0.4458 0.5000  1 Th 2.46, 1 Pt 2.57, 1 Rh 2.72
Rh 0.4458 0.9458 0.1151  1 Th 2.46, 1 Pt 2.57, 1 Rh 2.72
Rh 0.5000 0.5000 0.0000  2 Mg 2.63
Rh 0.5542 0.0542 0.8849  1 Th 2.46, 1 Pt 2.57, 1 Rh 2.72
Rh 0.6693 0.5542 0.5000  1 Th 2.46, 1 Pt 2.57, 1 Rh 2.72
Rh 0.8307 0.3307 0.8849  1 Th 2.46, 1 Pt 2.57, 1 Rh 2.72
Rh 0.9458 0.8307 0.5000  1 Th 2.46, 1 Pt 2.57, 1 Rh 2.72

The following is a PBE-GGA calculation of an optimized crystal structure of MgUPtRh, from Alexandria via LeMat-Bulk.

Summary:
The value obtained for the density of states at the Fermi level is 6.19 states/eV per cell. The calculation puts the final energy at -7.14 eV/atom. For the mass density, the calculation gives 12.48 g cm⁻³. As for the space-group type: F-43m, No. 216. Its formation energy from the elements is -569 meV per atom.

Unit cell a=4.7248 b=4.7248 c=4.7248 alpha=60.00 beta=60.00 gamma=60.00
Last column: nearest neighbours and their distance in Å.
Positions (direct):
Mg 0.0000 0.0000 0.0000  4 Rh 2.89, 4 Pt 2.89
U 0.5000 0.5000 0.5000  4 Rh 2.89, 4 Pt 2.89
Pt 0.2500 0.2500 0.2500  4 Mg 2.89, 4 U 2.89
Rh 0.7500 0.7500 0.7500  4 U 2.89, 4 Mg 2.89

The following is a PBE-GGA calculation of an optimized crystal structure of MgVPtRh, from Alexandria via LeMat-Bulk.

Summary:
The value obtained for the density of states at the Fermi level is 5.14 states/eV per cell. The calculation puts the final energy at -6.49 eV/atom. For the mass density, the calculation gives 10.39 g cm⁻³. As for the space-group type: F-43m, No. 216. Its formation energy from the elements is -466 meV per atom.

Unit cell a=4.3852 b=4.3852 c=4.3852 alpha=60.00 beta=60.00 gamma=60.00
Last column: nearest neighbours and their distance in Å.
Positions (direct):
Mg 0.0000 0.0000 0.0000  4 Rh 2.69, 4 Pt 2.69
V 0.5000 0.5000 0.5000  4 Rh 2.69, 4 Pt 2.69
Pt 0.7500 0.7500 0.7500  4 Mg 2.69, 4 V 2.69
Rh 0.2500 0.2500 0.2500  4 Mg 2.69, 4 V 2.69

The following is a PBE-GGA calculation of an optimized crystal structure of Mg2Zn5PtRh2, from Alexandria via LeMat-Bulk.

Summary:
The value obtained for the density of states at the Fermi level is 7.82 states/eV per cell. The calculation puts the final energy at -3.43 eV/atom. For the mass density, the calculation gives 8.10 g cm⁻³. As for the space-group type: P4/mbm, No. 127. Its formation energy from the elements is -395 meV per atom.

Unit cell a=9.0212 b=9.0212 c=3.9116 alpha=90.00 beta=90.00 gamma=90.00
Last column: nearest neighbours and their distance in Å.
Positions (direct):
Mg 0.1711 0.3289 0.0000  3 Rh 2.61-2.70
Mg 0.3289 0.8289 0.0000  3 Rh 2.61-2.70
Mg 0.6711 0.1711 0.0000  3 Rh 2.61-2.70
Mg 0.8289 0.6711 0.0000  3 Rh 2.61-2.70
Zn 0.0000 0.5000 0.5000  4 Rh 2.52, 4 Zn 2.82
Zn 0.0719 0.8040 0.5000  2 Rh 2.58, 3 Zn 2.66-2.82, 2 Pt 2.72
Zn 0.1960 0.0719 0.5000  2 Rh 2.58, 3 Zn 2.66-2.82, 2 Pt 2.72
Zn 0.3040 0.5719 0.5000  2 Rh 2.58, 3 Zn 2.66-2.82, 2 Pt 2.72
Zn 0.4281 0.3040 0.5000  2 Rh 2.58, 3 Zn 2.66-2.82, 2 Pt 2.72
Zn 0.5000 0.0000 0.5000  4 Rh 2.52, 4 Zn 2.82
Zn 0.5719 0.6960 0.5000  2 Rh 2.58, 3 Zn 2.66-2.82, 2 Pt 2.72
Zn 0.6960 0.4281 0.5000  2 Rh 2.58, 3 Zn 2.66-2.82, 2 Pt 2.72
Zn 0.8040 0.9281 0.5000  2 Rh 2.58, 3 Zn 2.66-2.82, 2 Pt 2.72
Zn 0.9281 0.1960 0.5000  2 Rh 2.58, 3 Zn 2.66-2.82, 2 Pt 2.72
Pt 0.0000 0.0000 0.0000  8 Zn 2.72
Pt 0.5000 0.5000 0.0000  8 Zn 2.72
Rh 0.1243 0.6243 0.0000  6 Zn 2.52-2.58, 3 Mg 2.61-2.70
Rh 0.3757 0.1243 0.0000  6 Zn 2.52-2.58, 3 Mg 2.61-2.70
Rh 0.6243 0.8757 0.0000  6 Zn 2.52-2.58, 3 Mg 2.61-2.70
Rh 0.8757 0.3757 0.0000  6 Zn 2.52-2.58, 3 Mg 2.61-2.70

The following is a PBE-GGA calculation of an optimized crystal structure of MgZrPtRh, from Alexandria via LeMat-Bulk.

Summary:
The value obtained for the density of states at the Fermi level is 2.32 states/eV per cell. The calculation puts the final energy at -6.75 eV/atom. For the mass density, the calculation gives 10.04 g cm⁻³. As for the space-group type: F-43m, No. 216. Its formation energy from the elements is -867 meV per atom.

Unit cell a=4.5908 b=4.5908 c=4.5908 alpha=60.00 beta=60.00 gamma=60.00
Last column: nearest neighbours and their distance in Å.
Positions (direct):
Mg 0.0000 0.0000 0.0000  4 Rh 2.81, 4 Pt 2.81
Zr 0.5000 0.5000 0.5000  4 Rh 2.81, 4 Pt 2.81
Pt 0.2500 0.2500 0.2500  4 Zr 2.81, 4 Mg 2.81
Rh 0.7500 0.7500 0.7500  4 Zr 2.81, 4 Mg 2.81

The following is a PBE-GGA calculation of an optimized crystal structure of MgZrPt2Rh, from Alexandria via LeMat-Bulk.

Summary:
The value obtained for the density of states at the Fermi level is 4.97 states/eV per cell. The calculation puts the final energy at -4.75 eV/atom. For the mass density, the calculation gives 8.21 g cm⁻³. As for the space-group type: P4/mmm, No. 123. Its formation energy from the elements is 1169 meV per atom.

Unit cell a=4.8566 b=4.8566 c=5.2167 alpha=90.00 beta=90.00 gamma=90.00
Last column: nearest neighbours and their distance in Å.
Positions (direct):
Mg 0.0000 0.0000 0.0000  2 Zr 2.61
Zr 0.0000 0.0000 0.5000  4 Pt 2.43, 2 Mg 2.61
Pt 0.0000 0.5000 0.5000  2 Zr 2.43
Pt 0.5000 0.0000 0.5000  2 Zr 2.43
Rh 0.5000 0.5000 0.0000  4 Mg 3.43, 8 Pt 3.56

The following is a PBE-GGA calculation of an optimized crystal structure of MgRuPt6, from Alexandria via LeMat-Bulk.

Summary:
The value obtained for the density of states at the Fermi level is 10.69 states/eV per cell. The calculation puts the final energy at -6.14 eV/atom. For the mass density, the calculation gives 17.42 g cm⁻³. As for the space-group type: C2/m, No. 12. Its formation energy from the elements is -252 meV per atom.

Unit cell a=4.8633 b=4.8633 c=7.8696 alpha=114.06 beta=114.06 gamma=47.84
Last column: nearest neighbours and their distance in Å.
Positions (direct):
Mg 0.0000 0.0000 0.0000  12 Pt 2.78-2.82
Ru 0.0000 0.0000 0.5000  12 Pt 2.75-2.82
Pt 0.2463 0.2463 0.3744  8 Pt 2.77-2.80, 3 Ru 2.78-2.82, 1 Mg 2.78
Pt 0.2488 0.2488 0.8735  8 Pt 2.78-2.86, 1 Ru 2.78, 3 Mg 2.80-2.81
Pt 0.4968 0.4968 0.2547  2 Ru 2.75, 8 Pt 2.78-2.86, 2 Mg 2.82
Pt 0.5032 0.5032 0.7453  2 Ru 2.75, 8 Pt 2.78-2.86, 2 Mg 2.82
Pt 0.7512 0.7512 0.1265  8 Pt 2.78-2.86, 1 Ru 2.78, 3 Mg 2.80-2.81
Pt 0.7537 0.7537 0.6256  8 Pt 2.77-2.80, 3 Ru 2.78-2.82, 1 Mg 2.78

The highest mass density belongs to which entry? MgRuPt6